## Fe2TcNi9 (PBE)

Data for a relaxed structure of Fe2TcNi9.

The structure in POSCAR format:
```
Fe2TcNi9
1.0
3.570 0.000 0.000
0.000 3.570 0.000
0.000 0.000 10.710
Ni Fe Tc
9 2 1
direct
0.500 0.500 0.335
0.500 0.500 0.665
0.500 0.000 0.830
0.500 0.500 0.000
0.500 0.000 0.500
0.000 0.500 0.500
0.000 0.500 0.170
0.500 0.000 0.170
0.000 0.500 0.830
0.000 0.000 0.663
0.000 0.000 0.337
0.000 0.000 0.000
```

Symmetry: No. 123
Calculated density, g/cm3: 8.98
Formation energy, eV per atom: -0.020
Fermi-level density of states, states/eV per cell: 9.6

***

## Fe2TcNi2 (PBE)

Data for a relaxed structure of Fe2TcNi2.

The structure in POSCAR format:
```
Fe2TcNi2
1.0
6.710 0.000 0.000
0.000 6.710 0.000
0.000 0.000 2.556
Tc Ni Fe
2 4 4
direct
0.500 0.500 0.000
0.000 0.000 0.000
0.125 0.375 0.000
0.875 0.625 0.000
0.375 0.875 0.000
0.625 0.125 0.000
0.327 0.173 0.500
0.673 0.827 0.500
0.173 0.673 0.500
0.827 0.327 0.500
```

Symmetry: No. 127
Calculated density, g/cm3: 9.44
Formation energy, eV per atom: 0.304
Fermi-level density of states, states/eV per cell: 19.2

***

## FeTc2Ni2 (PBE)

Data for a relaxed structure of FeTc2Ni2.

The structure in POSCAR format:
```
FeTc2Ni2
1.0
-1.746 1.746 5.825
1.746 -1.746 5.825
1.746 1.746 -5.825
Ni Fe Tc
2 1 2
direct
0.406 0.406 0.000
0.594 0.594 0.000
0.000 0.000 0.000
0.750 0.250 0.500
0.250 0.750 0.500
```

Symmetry: No. 139
Calculated density, g/cm3: 8.64
Formation energy, eV per atom: 0.488
Fermi-level density of states, states/eV per cell: 3.4